Entry from Alexandria via LeMat-Bulk: Tb2SmDy5Th after structural relaxation (GGA-PBE).

abc: 5.7161 11.1126 9.7422
angles: 90.00 90.00 104.90
Last column: nearest neighbours and their distance in Å.
Atoms (fractional coordinates):
Tb 0.8842 0.7684 0.8314  8 Dy 3.34-3.53, 1 Sm 3.44, 1 Tb 3.72
Tb 0.1287 0.2573 0.7124  1 Sm 3.26, 3 Dy 3.36-3.61, 2 Th 3.60
Tb 0.1158 0.2316 0.3314  8 Dy 3.34-3.53, 1 Sm 3.44, 1 Tb 3.72
Tb 0.8713 0.7427 0.2124  1 Sm 3.26, 3 Dy 3.36-3.61, 2 Th 3.60
Sm 0.8098 0.6196 0.5183  2 Tb 3.26-3.44, 5 Dy 3.44-3.52
Sm 0.1902 0.3804 0.0183  2 Tb 3.26-3.44, 5 Dy 3.44-3.52
Dy 0.3992 0.7984 0.0415  2 Dy 3.29-3.44, 4 Tb 3.36-3.53
Dy 0.7276 0.4552 0.8236  1 Th 3.04, 1 Tb 3.36
Dy 0.4687 0.9375 0.7410  2 Th 3.21-3.38, 3 Dy 3.29-3.53, 2 Tb 3.50
Dy 0.3050 0.6100 0.7149  3 Sm 3.44-3.85, 4 Dy 3.47-3.77, 3 Tb 3.51-3.79, 1 Th 3.59
Dy 0.9856 0.9713 0.5185  2 Tb 3.34-3.61, 2 Th 3.45, 2 Dy 3.61
Dy 0.6008 0.2016 0.5415  2 Dy 3.29-3.44, 4 Tb 3.36-3.53
Dy 0.2724 0.5448 0.3236  1 Th 3.04, 1 Tb 3.36
Dy 0.5313 0.0625 0.2410  2 Th 3.21-3.38, 3 Dy 3.29-3.53, 2 Tb 3.50
Dy 0.6950 0.3900 0.2149  3 Sm 3.44-3.85, 4 Dy 3.47-3.77, 3 Tb 3.51-3.79, 1 Th 3.59
Dy 0.0144 0.0287 0.0185  2 Tb 3.34-3.61, 2 Th 3.45, 2 Dy 3.61
Th 0.5933 0.1866 0.9224  3 Dy 3.04-3.38
Th 0.4067 0.8134 0.4224  3 Dy 3.04-3.38

**V**: 33.22 A^3/atom
**Total magnetic moment**: 0.0000 μB/atom
**DFT total energy**: -85.9 eV/cell
**Formation energy from the elements**: 161.2 meV/atom